VASP calculation (PBE-GGA) on an optimized crystal structure of LiNdDyHo.

Summary:
The space-group type is No. 216. The energy of formation comes out at 0.17 eV per atom.

Cell lengths 5.5256, 5.5256, 5.5256 Å; angles 60.00, 60.00, 60.00 degrees
Last column: nearest neighbours and their distance in Å.
Fractional coordinates of all 4 atoms:
Li1 0.0000 0.0000 0.0000  4 Dy 3.38, 4 Nd 3.38
Ho1 0.5000 0.5000 0.5000  4 Nd 3.38, 4 Dy 3.38
Dy1 0.7500 0.7500 0.7500  4 Ho 3.38, 4 Li 3.38
Nd1 0.2500 0.2500 0.2500  4 Li 3.38, 4 Ho 3.38

***

VASP calculation (PBE-GGA) on an optimized crystal structure of TmAlRh.

Summary:
The space-group type is No. 62. The energy of formation comes out at -0.96 eV per atom.

Cell lengths 4.1930, 6.7834, 7.8984 Å; angles 90.00, 90.00, 90.00 degrees
Last column: nearest neighbours and their distance in Å.
Fractional coordinates of all 12 atoms:
Al1 0.7500 0.1383 0.0602  4 Rh 2.58-2.65
Tm1 0.2500 0.9647 0.3210  5 Rh 2.84-2.95, 3 Al 3.09-3.17
Rh1 0.7500 0.7643 0.1219  4 Al 2.58-2.65, 1 Tm 2.84
Tm2 0.7500 0.0353 0.6790  5 Rh 2.84-2.95, 3 Al 3.09-3.17
Al2 0.2500 0.8617 0.9398  4 Rh 2.58-2.65
Al3 0.7500 0.6383 0.4398  4 Rh 2.58-2.65
Al4 0.2500 0.3617 0.5602  4 Rh 2.58-2.65
Tm3 0.2500 0.4647 0.1790  5 Rh 2.84-2.95, 3 Al 3.09-3.17
Rh2 0.2500 0.2357 0.8781  4 Al 2.58-2.65, 1 Tm 2.84
Rh3 0.2500 0.7357 0.6219  4 Al 2.58-2.65, 1 Tm 2.84
Rh4 0.7500 0.2643 0.3781  4 Al 2.58-2.65, 1 Tm 2.84
Tm4 0.7500 0.5353 0.8210  5 Rh 2.84-2.95, 3 Al 3.09-3.17

***

VASP calculation (PBE-GGA) on an optimized crystal structure of Sc2NiP.

Summary:
The space-group type is No. 38. The energy of formation comes out at -1.02 eV per atom.

Cell lengths 3.7835, 3.6434, 5.2188 Å; angles 69.56, 90.00, 90.00 degrees
Last column: nearest neighbours and their distance in Å.
Fractional coordinates of all 4 atoms:
Sc1 0.5000 0.2667 0.3416  4 Ni 2.71, 3 P 2.78-2.79
Sc2 0.0000 0.9828 0.9095  4 P 2.71, 3 Ni 2.77-2.79
P1 0.5000 0.5514 0.7723  2 Ni 2.38
Ni1 0.0000 0.6991 0.4766  2 P 2.38

***

VASP calculation (PBE-GGA) on an optimized crystal structure of CaDy3Cd2.

Summary:
The space-group type is No. 26. The calculation puts the energy above the most stable polymorph in this dataset at 0 meV/atom. The energy of formation comes out at -0.20 eV per atom.

Cell lengths 5.2570, 6.9247, 9.5355 Å; angles 90.00, 90.00, 90.00 degrees
Last column: nearest neighbours and their distance in Å.
Fractional coordinates of all 12 atoms:
Dy1 0.0000 0.8255 0.6812  4 Cd 3.13-3.19
Cd1 0.5000 0.2243 0.1470  6 Dy 3.08-3.27, 1 Ca 3.26
Cd2 0.5000 0.7243 0.8530  6 Dy 3.08-3.27, 1 Ca 3.26
Ca1 0.5000 0.0216 0.4556  3 Cd 3.26-3.30, 2 Ca 3.56, 3 Dy 3.61
Cd3 0.0000 0.7754 0.3484  5 Dy 3.13-3.21, 2 Ca 3.30
Dy2 0.5000 0.6734 0.1739  4 Cd 3.08-3.19
Dy3 0.5000 0.1734 0.8261  4 Cd 3.08-3.19
Dy4 0.0000 0.3255 0.3188  4 Cd 3.13-3.19
Dy5 0.0000 0.4797 0.9541  3 Cd 3.21-3.27, 5 Dy 3.54-3.59
Cd4 0.0000 0.2754 0.6516  5 Dy 3.13-3.21, 2 Ca 3.30
Ca2 0.5000 0.5216 0.5444  3 Cd 3.26-3.30, 2 Ca 3.56, 3 Dy 3.61
Dy6 0.0000 0.9797 0.0459  3 Cd 3.21-3.27, 5 Dy 3.54-3.59

***

VASP calculation (PBE-GGA) on an optimized crystal structure of CrSICl2.

Summary:
The space-group type is No. 123. The calculation puts the formation energy from raw total energies at 0.0127 eV per atom. The calculation puts the energy above the most stable polymorph in this dataset at 0 meV/atom.

Cell lengths 4.6953, 4.6953, 4.6826 Å; angles 90.00, 90.00, 90.00 degrees
Last column: nearest neighbours and their distance in Å.
Fractional coordinates of all 5 atoms:
Cr1 0.0000 0.0000 0.0000  2 S 2.34, 4 Cl 2.35
S1 0.0000 0.0000 0.5000  2 Cr 2.34
Cl1 0.0000 0.5000 0.0000  2 Cr 2.35
Cl2 0.5000 0.0000 0.0000  2 Cr 2.35
I1 0.5000 0.5000 0.5000  8 Cl 3.32, 4 S 3.32

***

VASP calculation (PBE-GGA) on an optimized crystal structure of NaAc3Sm2S6.

Summary:
The space-group type is No. 12. The calculation puts the formation energy from raw total energies at -1.9291 eV per atom.

Cell lengths 7.2446, 7.2446, 7.2035 Å; angles 99.64, 99.64, 120.13 degrees
Last column: nearest neighbours and their distance in Å.
Fractional coordinates of all 12 atoms:
S1 0.0773 0.4125 0.2324  2 Sm 2.88, 1 Na 2.89, 3 Ac 3.02-3.03
S2 0.5875 0.9227 0.7676  2 Sm 2.88, 1 Na 2.89, 3 Ac 3.02-3.03
Ac1 0.5000 0.5000 0.5000  6 S 3.03
Ac2 0.8352 0.1648 0.5000  6 S 3.02-3.03
Sm1 0.6664 0.3336 0.0000  6 S 2.86-2.88
Sm2 0.3336 0.6664 0.0000  6 S 2.86-2.88
S3 0.7421 0.7421 0.2281  2 Sm 2.86, 1 Na 2.87, 3 Ac 3.02-3.03
S4 0.2579 0.2579 0.7719  2 Sm 2.86, 1 Na 2.87, 3 Ac 3.02-3.03
Na1 0.0000 0.0000 0.0000  6 S 2.87-2.89
S5 0.4125 0.0773 0.2324  2 Sm 2.88, 1 Na 2.89, 3 Ac 3.02-3.03
S6 0.9227 0.5875 0.7676  2 Sm 2.88, 1 Na 2.89, 3 Ac 3.02-3.03
Ac3 0.1648 0.8352 0.5000  6 S 3.02-3.03

***

VASP calculation (PBE-GGA) on an optimized crystal structure of Nd2Zn4RhAu3.

Summary:
The space-group type is No. 115. The energy of formation comes out at -0.51 eV per atom.

Cell lengths 4.2184, 4.2184, 11.2332 Å; angles 90.00, 90.00, 90.00 degrees
Last column: nearest neighbours and their distance in Å.
Fractional coordinates of all 10 atoms:
Zn1 0.0000 0.5000 0.3702  3 Au 2.55-2.56, 2 Rh 2.56
Rh1 0.5000 0.5000 0.5000  4 Zn 2.56
Zn2 0.5000 0.0000 0.6298  3 Au 2.55-2.56, 2 Rh 2.56
Nd1 0.0000 0.5000 0.7398  8 Zn 3.23-3.60, 6 Au 3.26-3.42, 2 Rh 3.42
Au1 0.0000 0.5000 0.1431  5 Zn 2.55-2.65
Au2 0.5000 0.0000 0.8569  5 Zn 2.55-2.65
Nd2 0.5000 0.0000 0.2602  8 Zn 3.23-3.60, 6 Au 3.26-3.42, 2 Rh 3.42
Zn3 0.5000 0.5000 0.0000  4 Au 2.65
Au3 0.0000 0.0000 0.5000  4 Zn 2.56
Zn4 0.0000 0.0000 0.0000  4 Au 2.65

***

VASP calculation (PBE-GGA) on an optimized crystal structure of K3CeU3Se8.

Summary:
The space-group type is No. 166. The calculation puts the formation energy from raw total energies at -1.3528 eV per atom.

Cell lengths 8.4345, 8.4348, 9.2105 Å; angles 117.26, 90.00, 120.00 degrees
Last column: nearest neighbours and their distance in Å.
Fractional coordinates of all 15 atoms:
Se1 0.7354 0.4709 0.7062  3 U 2.92
K1 0.0000 0.5000 0.0000  6 Se 3.35-3.38
K2 0.0000 0.0000 0.0000  6 Se 3.35-3.38
Se2 0.2385 0.9661 0.7044  2 U 2.89, 1 Ce 2.96
Se3 0.2385 0.4770 0.7044  2 U 2.89, 1 Ce 2.96
U1 0.5000 0.0000 0.5000  6 Se 2.89-2.92
Se4 0.2646 0.5291 0.2938  3 U 2.92
K3 0.5000 0.5000 0.0000  6 Se 3.35-3.38
Ce1 0.0000 0.0000 0.5000  6 Se 2.96
Se5 0.7615 0.0339 0.2956  2 U 2.89, 1 Ce 2.96
U2 0.0000 0.5000 0.5000  6 Se 2.89-2.92
U3 0.5000 0.5000 0.5000  6 Se 2.89-2.92
Se6 0.7615 0.5230 0.2956  2 U 2.89, 1 Ce 2.96
Se7 0.2724 0.0339 0.2956  2 U 2.89, 1 Ce 2.96
Se8 0.7276 0.9661 0.7044  2 U 2.89, 1 Ce 2.96

***

VASP calculation (PBE-GGA) on an optimized crystal structure of ScB3Pb.

Summary:
The space-group type is No. 221. The calculation puts the energy above the most stable polymorph in this dataset at 0 meV/atom. The energy of formation comes out at 1.72 eV per atom.

Cell lengths 4.5398, 4.5398, 4.5398 Å; angles 90.00, 90.00, 90.00 degrees
Last column: nearest neighbours and their distance in Å.
Fractional coordinates of all 5 atoms:
B1 0.0000 0.5000 0.0000  2 Sc 2.27
B2 0.0000 0.0000 0.5000  2 Sc 2.27
Sc1 0.0000 0.0000 0.0000  6 B 2.27
Pb1 0.5000 0.5000 0.5000  12 B 3.21
B3 0.5000 0.0000 0.0000  2 Sc 2.27

***

VASP calculation (PBE-GGA) on an optimized crystal structure of CeGaGe2Ru2.

Summary:
The space-group type is No. 123. The energy of formation comes out at -0.09 eV per atom.

Cell lengths 4.5604, 4.5604, 5.6324 Å; angles 90.00, 90.00, 90.00 degrees
Last column: nearest neighbours and their distance in Å.
Fractional coordinates of all 6 atoms:
Ce1 0.0000 0.0000 0.5000  2 Ga 2.82
Ge1 0.5000 0.5000 0.2624  2 Ge 2.68-2.96, 4 Ru 2.72
Ru1 0.0000 0.5000 0.0000  2 Ga 2.28
Ru2 0.5000 0.0000 0.0000  2 Ga 2.28
Ga1 0.0000 0.0000 0.0000  4 Ru 2.28
Ge2 0.5000 0.5000 0.7376  2 Ge 2.68-2.96, 4 Ru 2.72

***

no.,M_tot (Bohr magnetons per cell),D(E_F) (states/eV/f.u.),electronic total energy (eV/cell)
1,0.00,3.730,-15.19
2,0.00,1.960,-73.74
3,0.00,2.345,-27.93
4,0.00,7.080,-37.62
5,0.00,5.692,-18.93
6,0.00,5.314,-71.00
7,0.00,7.050,-36.92
8,9.00,21.415,-91.26
9,0.00,4.621,-21.46
10,1.76,11.695,-37.32